[1]
An optimized crystal structure of Cs2SrSi2. Source: the Alexandria database, functional PBE.

a b c (Å): 8.2110 8.2110 6.2799
angles (deg): 90.00 90.00 90.00
Last column: nearest neighbours and their distance in Å.
Element x y z (fractional)
Cs 0.1813 0.3187 0.0000  6 Si 3.94-4.07, 5 Cs 4.21-4.26, 4 Sr 4.35
Cs 0.3187 0.8187 0.0000  6 Si 3.94-4.07, 5 Cs 4.21-4.26, 4 Sr 4.35
Cs 0.6813 0.1813 0.0000  6 Si 3.94-4.07, 5 Cs 4.21-4.26, 4 Sr 4.35
Cs 0.8187 0.6813 0.0000  6 Si 3.94-4.07, 5 Cs 4.21-4.26, 4 Sr 4.35
Sr 0.0000 0.0000 0.5000  4 Si 3.41
Sr 0.5000 0.5000 0.5000  4 Si 3.41
Si 0.0960 0.5960 0.5000  1 Si 2.23
Si 0.4040 0.0960 0.5000  1 Si 2.23
Si 0.5960 0.9040 0.5000  1 Si 2.23
Si 0.9040 0.4040 0.5000  1 Si 2.23

Output
Uncorrected formation energy, eV per atom: 0.148
DOS at the Fermi energy, states/eV/atom: 1.358

[2]
An optimized crystal structure of RbAsHBr2. Source: the Alexandria database, functional PBE.

a b c (Å): 5.7601 5.7601 3.6406
angles (deg): 90.00 90.00 90.00
Last column: nearest neighbours and their distance in Å.
Element x y z (fractional)
Rb 0.0000 0.0000 0.0000  8 Br 3.41, 2 Rb 3.64
As 0.5000 0.5000 0.0000  2 H 1.82
H 0.5000 0.5000 0.5000  2 As 1.82
Br 0.0000 0.5000 0.5000  2 H 2.88
Br 0.5000 0.0000 0.5000  2 H 2.88

Output
Calculated total energy, Ha/atom: -0.09999
DOS at the Fermi energy, states/eV/atom: 0.474

[3]
An optimized crystal structure of TbPm6NdEr2. Source: the Alexandria database, functional PBE.

a b c (Å): 8.9121 8.9121 9.6816
angles (deg): 93.98 93.98 117.43
Last column: nearest neighbours and their distance in Å.
Element x y z (fractional)
Tb 0.0297 0.9703 0.7500  4 Er 3.42-3.43, 6 Pm 3.57-3.81
Tb 0.9703 0.0297 0.2500  4 Er 3.42-3.43, 6 Pm 3.57-3.81
Pm 0.0165 0.5650 0.6831  2 Pm 3.25-3.60, 1 Er 3.48, 1 Nd 3.50, 1 Tb 3.57
Pm 0.1121 0.7591 0.0551  7 Pm 3.43-3.80, 1 Er 3.48, 2 Tb 3.67-3.81
Pm 0.2409 0.8879 0.4449  7 Pm 3.43-3.80, 1 Er 3.48, 2 Tb 3.67-3.81
Pm 0.2943 0.5108 0.8804  3 Pm 3.25-3.43, 3 Er 3.32-3.48, 2 Nd 3.48-3.58
Pm 0.4350 0.9835 0.8169  2 Pm 3.25-3.60, 1 Er 3.48, 1 Nd 3.50, 1 Tb 3.57
Pm 0.4892 0.7057 0.6196  3 Pm 3.25-3.43, 3 Er 3.32-3.48, 2 Nd 3.48-3.58
Pm 0.5108 0.2943 0.3804  3 Pm 3.25-3.43, 3 Er 3.32-3.48, 2 Nd 3.48-3.58
Pm 0.5650 0.0165 0.1831  2 Pm 3.25-3.60, 1 Er 3.48, 1 Nd 3.50, 1 Tb 3.57
Pm 0.7057 0.4892 0.1196  3 Pm 3.25-3.43, 3 Er 3.32-3.48, 2 Nd 3.48-3.58
Pm 0.7591 0.1121 0.5551  7 Pm 3.43-3.80, 1 Er 3.48, 2 Tb 3.67-3.81
Pm 0.8879 0.2409 0.9449  7 Pm 3.43-3.80, 1 Er 3.48, 2 Tb 3.67-3.81
Pm 0.9835 0.4350 0.3169  2 Pm 3.25-3.60, 1 Er 3.48, 1 Nd 3.50, 1 Tb 3.57
Nd 0.4072 0.5928 0.2500  6 Pm 3.48-3.58, 2 Er 3.58
Nd 0.5928 0.4072 0.7500  6 Pm 3.48-3.58, 2 Er 3.58
Er 0.1969 0.2944 0.5466  6 Pm 3.32-3.68, 2 Tb 3.42-3.43, 1 Nd 3.58
Er 0.2944 0.1969 0.0466  6 Pm 3.32-3.68, 2 Tb 3.42-3.43, 1 Nd 3.58
Er 0.7056 0.8031 0.9534  6 Pm 3.32-3.68, 2 Tb 3.42-3.43, 1 Nd 3.58
Er 0.8031 0.7056 0.4534  6 Pm 3.32-3.68, 2 Tb 3.42-3.43, 1 Nd 3.58

Output
DFT formation energy, eV per atom: 0.1169
DOS at the Fermi energy, states/eV/atom: 1.483

[4]
An optimized crystal structure of BaIrOs. Source: the Alexandria database, functional PBE.

a b c (Å): 4.2000 6.4831 6.5427
angles (deg): 95.93 108.64 108.85
Last column: nearest neighbours and their distance in Å.
Element x y z (fractional)
Ba 0.2099 0.1289 0.2892  1 Os 3.29, 5 Ir 3.36-3.53, 1 Ba 3.57
Ba 0.7901 0.8711 0.7108  1 Os 3.29, 5 Ir 3.36-3.53, 1 Ba 3.57
Ir 0.0556 0.4365 0.6743  1 Ir 2.46, 3 Os 2.54-2.60
Ir 0.9444 0.5635 0.3257  1 Ir 2.46, 3 Os 2.54-2.60
Os 0.3458 0.5890 0.1021  3 Ir 2.54-2.60, 2 Os 2.56-2.57
Os 0.6542 0.4110 0.8979  3 Ir 2.54-2.60, 2 Os 2.56-2.57

Output
DFT formation energy, eV per atom: 0.1624
DOS at the Fermi energy, states/eV/atom: 0.692

[5]
An optimized crystal structure of La4CrW. Source: the Alexandria database, functional PBE.

a b c (Å): 6.2712 6.2712 6.2712
angles (deg): 60.00 60.00 60.00
Last column: nearest neighbours and their distance in Å.
Element x y z (fractional)
La 0.1244 0.1244 0.1244  6 La 3.12-3.15
La 0.1244 0.1244 0.6268  6 La 3.12-3.15
La 0.1244 0.6268 0.1244  6 La 3.12-3.15
La 0.6268 0.1244 0.1244  6 La 3.12-3.15
Cr 0.5000 0.5000 0.5000  12 La 3.68, 4 W 3.84
W 0.7500 0.7500 0.7500  12 La 3.68, 4 Cr 3.84

Output
DFT formation energy, eV per atom: 1.1973
DOS at the Fermi energy, states/eV/atom: 1.599

[6]
An optimized crystal structure of ScAlZnC2. Source: the Alexandria database, functional PBE.

a b c (Å): 4.2089 4.2089 5.2013
angles (deg): 90.00 90.00 90.00
Last column: nearest neighbours and their distance in Å.
Element x y z (fractional)
Sc 0.0000 0.0000 0.0000  4 C 2.10
Al 0.5000 0.5000 0.5000  4 Zn 2.98
Zn 0.0000 0.0000 0.5000  2 Sc 2.60
C 0.0000 0.5000 0.0000  2 Sc 2.10
C 0.5000 0.0000 0.0000  2 Sc 2.10

Output
DFT formation energy, eV per atom: 1.7483
DOS at the Fermi energy, states/eV/atom: 0.578

[7]
An optimized crystal structure of Sm3BiPCl. Source: the Alexandria database, functional PBE.

a b c (Å): 8.7405 4.2260 9.5088
angles (deg): 90.00 101.81 90.00
Last column: nearest neighbours and their distance in Å.
Element x y z (fractional)
Sm 0.0728 0.2500 0.3520  3 P 2.83-2.88
Sm 0.1948 0.2500 0.9755  2 Cl 2.77, 1 P 2.99
Sm 0.3786 0.7500 0.6384  1 Cl 2.72, 2 P 2.92
Sm 0.6214 0.2500 0.3616  1 Cl 2.72, 2 P 2.92
Sm 0.8052 0.7500 0.0245  2 Cl 2.77, 1 P 2.99
Sm 0.9272 0.7500 0.6480  3 P 2.83-2.88
Bi 0.3260 0.7500 0.2813  7 Sm 3.23-3.59, 1 Cl 3.52
Bi 0.6740 0.2500 0.7187  7 Sm 3.23-3.59, 1 Cl 3.52
P 0.1534 0.2500 0.6557  6 Sm 2.83-2.99
P 0.8466 0.7500 0.3443  6 Sm 2.83-2.99
Cl 0.3820 0.7500 0.9254  3 Sm 2.72-2.77
Cl 0.6180 0.2500 0.0746  3 Sm 2.72-2.77

Output
Uncorrected formation energy, eV per atom: -1.236
DOS at the Fermi energy, states/eV/atom: 0.487

[8]
An optimized crystal structure of Tl2SnGeO4. Source: the Alexandria database, functional PBE.

a b c (Å): 7.7095 8.0345 5.2982
angles (deg): 90.00 90.00 90.00
Last column: nearest neighbours and their distance in Å.
Element x y z (fractional)
Tl 0.2236 0.1807 0.0000  3 O 2.53-2.77
Tl 0.2764 0.8193 0.5000  3 O 2.53-2.77
Tl 0.7236 0.8193 0.5000  3 O 2.53-2.77
Tl 0.7764 0.1807 0.0000  3 O 2.53-2.77
Sn 0.0000 0.6842 0.0112  2 O 2.12-2.15
Sn 0.5000 0.3158 0.5112  2 O 2.12-2.15
Ge 0.0000 0.4122 0.4838  4 O 1.77-1.82
Ge 0.5000 0.5878 0.9838  4 O 1.77-1.82
O 0.0000 0.4346 0.1422  1 Ge 1.82
O 0.0000 0.6213 0.6164  1 Ge 1.82
O 0.1926 0.3063 0.5654  1 Ge 1.77
O 0.3074 0.6937 0.0654  1 Ge 1.77
O 0.5000 0.3787 0.1164  1 Ge 1.82
O 0.5000 0.5654 0.6422  1 Ge 1.82
O 0.6926 0.6937 0.0654  1 Ge 1.77
O 0.8074 0.3063 0.5654  1 Ge 1.77

Output
Uncorrected formation energy, eV per atom: -1.205

[9]
An optimized crystal structure of SrZrTiN3. Source: the Alexandria database, functional PBE.

a b c (Å): 7.1954 3.4552 8.0181
angles (deg): 90.00 102.10 90.00
Last column: nearest neighbours and their distance in Å.
Element x y z (fractional)
Sr 0.1847 0.2500 0.1994  5 N 2.65-2.84
Sr 0.8153 0.7500 0.8006  5 N 2.65-2.84
Zr 0.3513 0.7500 0.8708  5 N 2.07-2.30
Zr 0.6487 0.2500 0.1292  5 N 2.07-2.30
Ti 0.1094 0.2500 0.6003  4 N 1.94-2.08
Ti 0.8906 0.7500 0.3997  4 N 1.94-2.08
N 0.1359 0.2500 0.8464  1 Ti 1.94
N 0.1777 0.7500 0.5161  3 Ti 1.95-2.08
N 0.4398 0.7500 0.1341  3 Zr 2.07-2.30
N 0.5602 0.2500 0.8659  3 Zr 2.07-2.30
N 0.8223 0.2500 0.4839  3 Ti 1.95-2.08
N 0.8641 0.7500 0.1536  1 Ti 1.94

Output
Uncorrected formation energy, eV per atom: -1.210
DOS at the Fermi energy, states/eV/atom: 0.293

[10]
An optimized crystal structure of NaTi2P2. Source: the Alexandria database, functional PBE.

a b c (Å): 7.0494 7.0494 3.2355
angles (deg): 90.00 90.00 90.00
Last column: nearest neighbours and their distance in Å.
Element x y z (fractional)
Na 0.0000 0.0000 0.0000  4 P 2.70
Na 0.5000 0.5000 0.0000  4 P 2.70
Ti 0.1413 0.3587 0.5000  6 P 2.59-2.68, 1 Ti 2.82
Ti 0.3587 0.8587 0.5000  6 P 2.59-2.68, 1 Ti 2.82
Ti 0.6413 0.1413 0.5000  6 P 2.59-2.68, 1 Ti 2.82
Ti 0.8587 0.6413 0.5000  6 P 2.59-2.68, 1 Ti 2.82
P 0.1449 0.6449 0.0000  6 Ti 2.59-2.68, 2 Na 2.70, 1 P 2.89
P 0.3551 0.1449 0.0000  6 Ti 2.59-2.68, 2 Na 2.70, 1 P 2.89
P 0.6449 0.8551 0.0000  6 Ti 2.59-2.68, 2 Na 2.70, 1 P 2.89
P 0.8551 0.3551 0.0000  6 Ti 2.59-2.68, 2 Na 2.70, 1 P 2.89

Output
DFT formation energy, eV per atom: -0.6576
DOS at the Fermi energy, states/eV/atom: 1.152

[11]
An optimized crystal structure of Rb2TiCuBr6. Source: the Alexandria database, functional PBE.

a b c (Å): 7.5023 7.5023 7.5023
angles (deg): 117.11 117.11 95.08
Last column: nearest neighbours and their distance in Å.
Element x y z (fractional)
Rb 0.2500 0.7500 0.5000  12 Br 3.76-3.92
Rb 0.7500 0.2500 0.5000  12 Br 3.76-3.92
Ti 0.0000 0.0000 0.0000  6 Br 2.59-2.67
Cu 0.5000 0.5000 0.0000  2 Br 2.40
Br 0.2338 0.2338 0.4677  1 Ti 2.59
Br 0.2338 0.7662 0.0000  1 Ti 2.59
Br 0.2633 0.2633 0.0000  1 Cu 2.40, 1 Ti 2.67
Br 0.7367 0.7367 0.0000  1 Cu 2.40, 1 Ti 2.67
Br 0.7662 0.2338 0.0000  1 Ti 2.59
Br 0.7662 0.7662 0.5323  1 Ti 2.59

Output
Uncorrected formation energy, eV per atom: -1.186
DOS at the Fermi energy, states/eV/atom: 0.848

[12]
An optimized crystal structure of Sr2AlCdNi. Source: the Alexandria database, functional PBE.

a b c (Å): 5.7613 5.7613 4.5968
angles (deg): 90.00 90.00 90.00
Last column: nearest neighbours and their distance in Å.
Element x y z (fractional)
Sr 0.0000 0.5000 0.0000  2 Ni 2.88
Sr 0.5000 0.0000 0.0000  2 Ni 2.88
Al 0.0000 0.0000 0.5000  2 Ni 2.30
Cd 0.5000 0.5000 0.5000  8 Sr 3.69, 4 Al 4.07
Ni 0.0000 0.0000 0.0000  2 Al 2.30

Output
DFT formation energy, eV per atom: -0.1502
DOS at the Fermi energy, states/eV/atom: 0.652